(1)
## Pm5Pu3H12 (PBE)

Data for a geometry-optimized Pm5Pu3H12 structure.

Output
ρ ... 8.2 Mg/m³
Raw total energy ... -5.682 eV per atom
SG ... Ia-3d
Total magnetic moment ... 0.937 μB per atom
D(E_F) ... 1.470 states/eV/atom

Cell: 11.543 11.543 11.543 Å, 109.47 109.47 109.47°
Element x y z (fractional)
Pm 0.000 0.000 0.000
Pm 0.000 0.000 0.500
Pm 0.000 0.500 0.000
Pm 0.000 0.500 0.500
Pm 0.125 0.750 0.875
Pm 0.125 0.875 0.250
Pm 0.250 0.125 0.875
Pm 0.250 0.625 0.375
Pm 0.375 0.250 0.625
Pm 0.375 0.625 0.750
Pm 0.500 0.000 0.000
Pm 0.500 0.000 0.500
Pm 0.500 0.500 0.000
Pm 0.500 0.500 0.500
Pm 0.625 0.375 0.250
Pm 0.625 0.750 0.375
Pm 0.750 0.375 0.625
Pm 0.750 0.875 0.125
Pm 0.875 0.125 0.750
Pm 0.875 0.250 0.125
Pu 0.125 0.250 0.375
Pu 0.125 0.375 0.750
Pu 0.250 0.375 0.125
Pu 0.250 0.875 0.625
Pu 0.375 0.125 0.250
Pu 0.375 0.750 0.125
Pu 0.625 0.250 0.875
Pu 0.625 0.875 0.750
Pu 0.750 0.125 0.375
Pu 0.750 0.625 0.875
Pu 0.875 0.625 0.250
Pu 0.875 0.750 0.625
H 0.071 0.231 0.153
H 0.071 0.341 0.919
H 0.078 0.731 0.659
H 0.078 0.847 0.419
H 0.081 0.653 0.422
H 0.081 0.929 0.659
H 0.153 0.071 0.231
H 0.153 0.581 0.922
H 0.159 0.231 0.578
H 0.159 0.429 0.581
H 0.231 0.153 0.071
H 0.231 0.578 0.159
H 0.269 0.341 0.922
H 0.269 0.429 0.347
H 0.341 0.919 0.071
H 0.341 0.922 0.269
H 0.347 0.269 0.429
H 0.347 0.578 0.919
H 0.419 0.078 0.847
H 0.419 0.841 0.571
H 0.422 0.081 0.653
H 0.422 0.841 0.769
H 0.429 0.347 0.269
H 0.429 0.581 0.159
H 0.571 0.419 0.841
H 0.571 0.653 0.731
H 0.578 0.159 0.231
H 0.578 0.919 0.347
H 0.581 0.159 0.429
H 0.581 0.922 0.153
H 0.653 0.422 0.081
H 0.653 0.731 0.571
H 0.659 0.078 0.731
H 0.659 0.081 0.929
H 0.731 0.571 0.653
H 0.731 0.659 0.078
H 0.769 0.422 0.841
H 0.769 0.847 0.929
H 0.841 0.571 0.419
H 0.841 0.769 0.422
H 0.847 0.419 0.078
H 0.847 0.929 0.769
H 0.919 0.071 0.341
H 0.919 0.347 0.578
H 0.922 0.153 0.581
H 0.922 0.269 0.341
H 0.929 0.659 0.081
H 0.929 0.769 0.847

---

(2)
## PmPuH4 (PBE)

Data for a geometry-optimized PmPuH4 structure.

Output
ρ ... 8.5 Mg/m³
Raw total energy ... -5.919 eV per atom
SG ... P4/mmm
Total magnetic moment ... 0.913 μB per atom
D(E_F) ... 1.084 states/eV/atom

Cell: 3.790 3.790 5.344 Å, 90.00 90.00 90.00°
Element x y z (fractional)
Pm 0.000 0.000 0.000
Pu 0.500 0.500 0.500
H 0.000 0.500 0.255
H 0.000 0.500 0.745
H 0.500 0.000 0.255
H 0.500 0.000 0.745

---

(3)
## Pm4PuH10 (PBE)

Data for a geometry-optimized Pm4PuH10 structure.

Output
ρ ... 7.1 Mg/m³
Raw total energy ... -5.059 eV per atom
SG ... R-3m
Total magnetic moment ... 0.368 μB per atom
D(E_F) ... 0.683 states/eV/atom

Cell: 15.738 15.738 15.738 Å, 13.90 13.90 13.90°
Element x y z (fractional)
Pm 0.100 0.100 0.100
Pm 0.300 0.300 0.300
Pm 0.700 0.700 0.700
Pm 0.900 0.900 0.900
Pu 0.500 0.500 0.500
H 0.050 0.050 0.050
H 0.150 0.150 0.150
H 0.250 0.250 0.250
H 0.350 0.350 0.350
H 0.451 0.451 0.451
H 0.549 0.549 0.549
H 0.650 0.650 0.650
H 0.750 0.750 0.750
H 0.850 0.850 0.850
H 0.950 0.950 0.950

---

(4)
## Pm2PuH (PBE)

Data for a geometry-optimized Pm2PuH structure.

Output
ρ ... 9.5 Mg/m³
Raw total energy ... -6.631 eV per atom
SG ... P4/mmm
Total magnetic moment ... 1.475 μB per atom
D(E_F) ... 2.397 states/eV/atom

Cell: 3.310 3.310 8.514 Å, 90.00 90.00 90.00°
Element x y z (fractional)
Pm 0.000 0.000 0.193
Pm 0.000 0.000 0.807
Pu 0.500 0.500 0.500
H 0.500 0.500 0.000

---

(5)
## PmPu2H6 (PBE)

Data for a geometry-optimized PmPu2H6 structure.

Output
ρ ... 9.3 Mg/m³
Raw total energy ... -6.404 eV per atom
SG ... Immm
Total magnetic moment ... 1.223 μB per atom
D(E_F) ... 1.486 states/eV/atom

Cell: 6.549 6.549 6.549 Å, 146.61 132.00 59.73°
Element x y z (fractional)
Pm 0.000 0.000 0.000
Pu 0.332 0.332 0.000
Pu 0.668 0.668 0.000
H 0.083 0.832 0.251
H 0.257 0.500 0.757
H 0.419 0.168 0.251
H 0.581 0.832 0.749
H 0.743 0.500 0.243
H 0.917 0.168 0.749

---

(6)
## PmPu2H8 (PBE)

Data for a geometry-optimized PmPu2H8 structure.

Output
ρ ... 9.6 Mg/m³
Raw total energy ... -5.948 eV per atom
SG ... Immm
Total magnetic moment ... 0.985 μB per atom
D(E_F) ... 1.242 states/eV/atom

Cell: 6.519 6.519 6.519 Å, 146.21 133.46 58.74°
Element x y z (fractional)
Pm 0.000 0.000 0.000
Pu 0.320 0.320 0.000
Pu 0.680 0.680 0.000
H 0.112 0.843 0.270
H 0.171 0.671 0.500
H 0.279 0.500 0.779
H 0.427 0.157 0.270
H 0.573 0.843 0.730
H 0.721 0.500 0.221
H 0.829 0.329 0.500
H 0.888 0.157 0.730

---

(7)
## PmPuH (PBE)

Data for a geometry-optimized PmPuH structure.

Output
ρ ... 10.2 Mg/m³
Raw total energy ... -7.548 eV per atom
SG ... P3m1
Total magnetic moment ... 2.013 μB per atom
D(E_F) ... 2.753 states/eV/atom

Cell: 3.551 3.551 5.815 Å, 90.00 90.00 120.00°
Element x y z (fractional)
Pm 0.000 0.000 0.000
Pu 0.333 0.667 0.491
H 0.667 0.333 0.252

---

(8)
## Pm2PuH12Rh3 (PBE)

Data for a geometry-optimized Pm2PuH12Rh3 structure.

Output
ρ ... 7.9 Mg/m³
Raw total energy ... -5.086 eV per atom
SG ... R-3m
Total magnetic moment ... 0.396 μB per atom
D(E_F) ... 1.012 states/eV/atom

Cell: 6.191 6.191 6.191 Å, 63.02 63.02 63.02°
Element x y z (fractional)
Pm 0.113 0.113 0.113
Pm 0.887 0.887 0.887
Pu 0.500 0.500 0.500
H 0.069 0.638 0.638
H 0.217 0.217 0.636
H 0.217 0.636 0.217
H 0.362 0.362 0.931
H 0.362 0.931 0.362
H 0.364 0.783 0.783
H 0.636 0.217 0.217
H 0.638 0.069 0.638
H 0.638 0.638 0.069
H 0.783 0.364 0.783
H 0.783 0.783 0.364
H 0.931 0.362 0.362
Rh 0.000 0.500 0.500
Rh 0.500 0.000 0.500
Rh 0.500 0.500 0.000